# 1
Computed, not measured: an optimized crystal structure of Tb2HoTm4Sc at the PBE-GGA level of DFT.

The energy relative to the elements is 34 meV/atom. The value obtained for the density of states at the Fermi level is 11.80 states/eV per cell.

Unit cell a=4.9272 b=4.9272 c=9.8373 alpha=90.00 beta=90.00 gamma=90.00
Closest atoms and distances in Å follow each position.
Space group P4/mmm (No. 123)
Unique sites:
Tb 0.0000 0.0000 0.0000 [1 per cell]  8 Tm 3.45, 4 Sc 3.48
Tb 0.5000 0.5000 0.5000 [1 per cell]  4 Ho 3.48, 8 Tm 3.51
Ho 0.0000 0.0000 0.5000 [1 per cell]  4 Tb 3.48, 8 Tm 3.51
Tm 0.0000 0.5000 0.2457 [4 per cell]  4 Tb 3.45-3.51, 2 Sc 3.45, 4 Tm 3.48, 2 Ho 3.51
Sc 0.5000 0.5000 0.0000 [1 per cell]  8 Tm 3.45, 4 Tb 3.48

---

# 2
Computed, not measured: an optimized crystal structure of Tb3HoTmSc at the PBE-GGA level of DFT.

The energy relative to the elements is 36 meV/atom. The value obtained for the density of states at the Fermi level is 16.51 states/eV per cell.

Unit cell a=7.7985 b=4.9572 c=9.8767 alpha=90.00 beta=108.57 gamma=90.00
Closest atoms and distances in Å follow each position.
Space group P2_1/m (No. 11)
Unique sites:
Tb 0.1695 0.2500 0.0444 [2 per cell]  3 Tm 3.48-3.51, 1 Sc 3.48, 3 Ho 3.50-3.57, 5 Tb 3.53
Tb 0.1708 0.7500 0.7902 [2 per cell]  3 Tm 3.48-3.50, 1 Sc 3.48, 6 Tb 3.50-3.53, 2 Ho 3.55
Tb 0.1742 0.2500 0.5415 [2 per cell]  3 Sc 3.41-3.46, 1 Tm 3.45, 3 Ho 3.47-3.57, 5 Tb 3.50-3.57
Ho 0.1736 0.7500 0.2960 [2 per cell]  3 Sc 3.41-3.46, 1 Tm 3.45, 8 Tb 3.47-3.57
Tm 0.4992 0.7500 0.1276 [2 per cell]  7 Tb 3.45-3.51, 1 Ho 3.45, 2 Sc 3.50, 2 Tm 3.54
Sc 0.4995 0.2500 0.3781 [2 per cell]  3 Ho 3.41-3.46, 5 Tb 3.41-3.48, 2 Sc 3.45, 2 Tm 3.50

---

# 3
Computed, not measured: an optimized crystal structure of Tb2Ho6TmSc3 at the PBE-GGA level of DFT.

The energy relative to the elements is 43 meV/atom. The value obtained for the density of states at the Fermi level is 35.93 states/eV per cell.

Unit cell a=6.0171 b=10.4127 c=11.4201 alpha=90.00 beta=100.09 gamma=90.00
Closest atoms and distances in Å follow each position.
Space group C2/m (No. 12)
Unique sites:
Tb 0.0000 0.1667 0.0000 [4 per cell]  3 Tm 3.47, 3 Tb 3.47, 6 Ho 3.53
Ho 0.2469 0.1666 0.7413 [8 per cell]  3 Sc 3.37, 6 Ho 3.47, 2 Tb 3.53, 1 Tm 3.53
Ho 0.2466 0.5000 0.7412 [4 per cell]  3 Sc 3.37, 6 Ho 3.47, 1 Tm 3.53, 2 Tb 3.53
Tm 0.0000 0.5000 0.0000 [2 per cell]  6 Tb 3.47, 6 Ho 3.53
Sc 0.0000 0.0000 0.5000 [2 per cell]  6 Ho 3.37, 6 Sc 3.47
Sc 0.0000 0.3334 0.5000 [4 per cell]  6 Ho 3.37, 6 Sc 3.47

---

# 4
Computed, not measured: an optimized crystal structure of TbHo3TmSc at the PBE-GGA level of DFT.

The energy relative to the elements is 36 meV/atom. The value obtained for the density of states at the Fermi level is 34.10 states/eV per cell.

Unit cell a=4.9158 b=14.7652 c=9.8560 alpha=90.00 beta=90.00 gamma=90.00
Closest atoms and distances in Å follow each position.
Space group Cmcm (No. 63)
Unique sites:
Tb 0.0000 0.0022 0.2500 [4 per cell]  6 Ho 3.46-3.52, 2 Sc 3.46, 4 Tm 3.48
Ho 0.0000 0.1671 0.0004 [8 per cell]  5 Ho 3.45-3.48, 2 Tb 3.46-3.51, 3 Sc 3.47-3.48, 2 Tm 3.48
Ho 0.0000 0.3312 0.2500 [4 per cell]  2 Sc 3.45, 6 Ho 3.45-3.48, 2 Tm 3.50, 2 Tb 3.52
Tm 0.0000 0.5000 0.0000 [4 per cell]  4 Tb 3.48, 6 Ho 3.48-3.50, 2 Sc 3.49
Sc 0.0000 0.3327 0.7500 [4 per cell]  8 Ho 3.45-3.48, 2 Tb 3.46, 2 Tm 3.49

---

# 5
Computed, not measured: an optimized crystal structure of Tb2Ho6Tm3Sc at the PBE-GGA level of DFT.

The energy relative to the elements is 29 meV/atom. The value obtained for the density of states at the Fermi level is 33.50 states/eV per cell.

Unit cell a=6.0620 b=10.4868 c=11.5997 alpha=90.00 beta=99.98 gamma=90.00
Closest atoms and distances in Å follow each position.
Space group C2/m (No. 12)
Unique sites:
Tb 0.0000 0.1666 0.0000 [4 per cell]  3 Tb 3.50, 3 Sc 3.50, 6 Ho 3.50
Ho 0.2482 0.3345 0.2495 [8 per cell]  6 Ho 3.47-3.51, 1 Sc 3.48, 3 Tm 3.50-3.51, 2 Tb 3.50
Ho 0.2484 0.5000 0.7503 [4 per cell]  6 Ho 3.48-3.51, 1 Sc 3.49, 3 Tm 3.50-3.51, 2 Tb 3.50
Tm 0.0000 0.0000 0.5000 [2 per cell]  6 Tm 3.50, 6 Ho 3.50-3.51
Tm 0.0000 0.3337 0.5000 [4 per cell]  6 Tm 3.49-3.50, 6 Ho 3.50-3.51
Sc 0.0000 0.5000 0.0000 [2 per cell]  6 Ho 3.48-3.49, 6 Tb 3.50

---

# 6
Computed, not measured: an optimized crystal structure of Tb2HoTmSc5 at the PBE-GGA level of DFT.

The energy relative to the elements is 162 meV/atom. The value obtained for the density of states at the Fermi level is 62.48 states/eV per cell.

Unit cell a=5.3180 b=18.4525 c=10.3470 alpha=90.00 beta=90.00 gamma=90.00
Closest atoms and distances in Å follow each position.
Space group Cmc2_1 (No. 36)
Unique sites:
Tb 0.0000 0.1072 0.0000 [4 per cell]  6 Sc 3.14-3.49, 1 Ho 3.40
Tb 0.0000 0.1132 0.5897 [4 per cell]  9 Sc 3.22-3.45
Ho 0.0000 0.2077 0.2752 [4 per cell]  8 Sc 3.32-3.53, 2 Tb 3.40-3.69, 2 Tm 3.55
Tm 0.0000 0.4170 0.7285 [4 per cell]  5 Sc 2.94-3.05
Sc 0.0000 0.0211 0.3000 [4 per cell]  2 Tm 2.99, 2 Tb 3.14-3.30
Sc 0.0000 0.2872 0.5636 [4 per cell]  1 Tm 2.94, 1 Tb 3.22, 2 Sc 3.23
Sc 0.0000 0.2989 0.9760 [4 per cell]  3 Sc 3.23-3.33, 3 Tb 3.33-3.54, 1 Tm 3.36, 3 Ho 3.38-3.52
Sc 0.0000 0.3989 0.2893 [4 per cell]  5 Sc 3.15-3.51, 4 Tb 3.37-3.44, 1 Tm 3.45, 1 Ho 3.53
Sc 0.0000 0.4786 0.0021 [4 per cell]  2 Tm 3.03-3.05, 5 Sc 3.15-3.38, 2 Tb 3.28

---

# 7
Computed, not measured: an optimized crystal structure of TbHoTmSc2 at the PBE-GGA level of DFT.

The energy relative to the elements is 250 meV/atom. The value obtained for the density of states at the Fermi level is 37.16 states/eV per cell.

Unit cell a=3.4528 b=15.7118 c=11.2116 alpha=90.00 beta=90.00 gamma=90.00
Closest atoms and distances in Å follow each position.
Space group Cmcm (No. 63)
Unique sites:
Tb 0.0000 0.0000 0.0000 [4 per cell]  4 Sc 3.26, 2 Ho 3.39, 2 Tb 3.45
Ho 0.0000 0.1208 0.2500 [4 per cell]  4 Sc 3.20, 2 Tb 3.39, 2 Ho 3.45
Tm 0.0000 0.1752 0.7500 [4 per cell]  2 Tm 3.45, 6 Sc 3.48-3.50, 2 Ho 3.64
Sc 0.0000 0.3251 0.5220 [8 per cell]  2 Sc 2.96, 2 Ho 3.20, 2 Tb 3.26

---

# 8
Computed, not measured: an optimized crystal structure of TbHo2TmSc at the PBE-GGA level of DFT.

The energy relative to the elements is 359 meV/atom. The value obtained for the density of states at the Fermi level is 26.66 states/eV per cell.

Unit cell a=8.1171 b=11.1229 c=7.0398 alpha=90.00 beta=90.00 gamma=90.00
Closest atoms and distances in Å follow each position.
Space group Cmcm (No. 63)
Unique sites:
Tb 0.0000 0.2313 0.2500 [4 per cell]  1 Sc 2.98
Ho 0.1971 0.0000 0.0000 [8 per cell]  2 Sc 3.02, 1 Ho 3.20
Tm 0.0000 0.2297 0.7500 [4 per cell]  1 Sc 3.01
Sc 0.0000 0.4995 0.2500 [4 per cell]  1 Tb 2.98, 1 Tm 3.01, 4 Ho 3.02